# CaHoPdRu PBE relaxed
# Magnetization (μB per formula unit): 0.00
# Energy (eV for the cell shown): -90.1
# E_form (eV/atom): -0.371
data_CaHoPdRu
_space_group_name_H-M_alt 'F -4 3 m'
_space_group_IT_number 216
_space_group_name_Hall 'F -4 2 3'
_cell_length_a 6.864
_cell_length_b 6.864
_cell_length_c 6.864
_cell_angle_alpha 90.00
_cell_angle_beta 90.00
_cell_angle_gamma 90.00
loop_
_atom_site_label
_atom_site_fract_x
_atom_site_fract_y
_atom_site_fract_z
_atom_site_occupancy
Ca1 0.000 0.000 0.000 1
Ho1 0.000 0.000 0.500 1
Pd1 0.250 0.250 0.250 1
Ru1 0.250 0.250 0.750 1